1.
Pa3Fe2Si7 PBE-GGA relaxed; density of states at the Fermi level = 8.738 states/eV per cell; symmetry = No. 10; E = -7.5676 eV/atom; total magnetic moment = 0.00 μB/f.u.; formation energy (no corrections) = -7.44 eV/f.u.
1.0
4.049 0.000 0.000
0.000 4.010 -0.468
0.000 -0.535 12.377
Pa Si Fe
3 7 2
direct
0.000 0.813 0.634 Pa
0.500 0.500 0.000 Pa
0.000 0.187 0.366 Pa
0.000 0.594 0.175 Si
0.500 0.276 0.555 Si
0.000 0.406 0.825 Si
0.500 0.085 0.174 Si
0.500 0.724 0.445 Si
0.000 0.000 0.000 Si
0.500 0.915 0.826 Si
0.500 0.375 0.741 Fe
0.500 0.625 0.259 Fe

2.
Pa3FeSi3Tc2 PBE-GGA relaxed; density of states at the Fermi level = 7.554 states/eV per cell; symmetry = No. 189; E = -8.7911 eV/atom; total magnetic moment = 0.00 μB/f.u.; formation energy (no corrections) = -5.17 eV/f.u.
1.0
3.920 0.000 0.000
0.000 6.848 0.000
0.000 -3.424 5.930
Si Pa Tc Fe
3 3 2 1
direct
0.500 0.230 0.230 Si
0.500 0.770 0.000 Si
0.500 0.000 0.770 Si
0.000 0.589 0.589 Pa
0.000 0.000 0.411 Pa
0.000 0.411 0.000 Pa
0.500 0.333 0.667 Tc
0.500 0.667 0.333 Tc
0.000 0.000 0.000 Fe

3.
PaFeSiTc PBE-GGA relaxed; density of states at the Fermi level = 1.402 states/eV per cell; symmetry = No. 216; E = -8.6763 eV/atom; total magnetic moment = 0.00 μB/f.u.; formation energy (no corrections) = -0.96 eV/f.u.
1.0
4.490 0.000 0.000
2.245 3.889 0.000
2.245 1.296 3.666
Tc Fe Pa Si
1 1 1 1
direct
0.000 0.000 0.000 Tc
0.500 0.500 0.500 Fe
0.250 0.250 0.250 Pa
0.750 0.750 0.750 Si

4.
PaVFeSi2 PBE-GGA relaxed; density of states at the Fermi level = 6.489 states/eV per cell; symmetry = No. 119; E = -8.0854 eV/atom; total magnetic moment = 2.08 μB/f.u.; formation energy (no corrections) = -2.50 eV/f.u.
1.0
3.976 0.000 0.000
0.000 3.976 0.000
-1.988 -1.988 5.038
Si Fe Pa V
2 1 1 1
direct
0.381 0.381 0.761 Si
0.619 0.619 0.239 Si
0.750 0.250 0.500 Fe
0.000 0.000 0.000 Pa
0.250 0.750 0.500 V

5.
Pa2ZnFeSi PBE-GGA relaxed; density of states at the Fermi level = 9.176 states/eV per cell; symmetry = No. 11; E = -7.1050 eV/atom; total magnetic moment = 0.00 μB/f.u.; formation energy (no corrections) = -1.37 eV/f.u.
1.0
-0.513 -3.849 -1.313
3.956 0.871 -4.100
5.172 -2.623 5.668
Fe Pa Zn Si
2 4 2 2
direct
0.750 0.010 0.217 Fe
0.250 0.990 0.783 Fe
0.250 0.236 0.016 Pa
0.250 0.225 0.437 Pa
0.750 0.764 0.984 Pa
0.750 0.775 0.563 Pa
0.750 0.276 0.724 Zn
0.250 0.724 0.276 Zn
0.250 0.563 0.753 Si
0.750 0.437 0.247 Si

6.
Pa2Zn2FeSi4 PBE-GGA relaxed; density of states at the Fermi level = 9.682 states/eV per cell; symmetry = No. 139; E = -6.1102 eV/atom; total magnetic moment = 0.00 μB/f.u.; formation energy (no corrections) = -3.30 eV/f.u.
1.0
5.925 -0.316 -0.499
-2.669 5.299 0.499
-2.669 -1.811 5.004
Si Zn Pa Fe
4 2 2 1
direct
0.549 0.274 0.274 Si
0.000 0.274 0.726 Si
0.451 0.726 0.726 Si
0.000 0.726 0.274 Si
0.000 0.711 0.711 Zn
0.000 0.289 0.289 Zn
0.500 0.750 0.250 Pa
0.500 0.250 0.750 Pa
0.000 0.000 0.000 Fe

7.
SmPaFe4 PBE-GGA relaxed; density of states at the Fermi level = 8.237 states/eV per cell; symmetry = No. 216; E = -8.0382 eV/atom; total magnetic moment = 6.16 μB/f.u.
1.0
-2.489 2.087 -3.977
-0.556 -2.654 -4.360
-4.625 -1.776 -1.353
Pa Fe Sm
1 4 1
direct
0.000 0.000 0.000 Pa
0.626 0.626 0.122 Fe
0.626 0.122 0.626 Fe
0.122 0.626 0.626 Fe
0.626 0.626 0.626 Fe
0.250 0.250 0.250 Sm

8.
SmPaFe10 PBE-GGA relaxed; density of states at the Fermi level = 12.719 states/eV per cell; symmetry = No. 47; E = -8.2693 eV/atom; total magnetic moment = 19.59 μB/f.u.
1.0
-0.436 0.245 3.975
0.962 -4.886 0.406
8.422 1.727 0.817
Fe Pa Sm
10 1 1
direct
0.500 0.500 0.000 Fe
0.000 0.500 0.827 Fe
0.500 0.749 0.747 Fe
0.000 0.000 0.339 Fe
0.500 0.000 0.500 Fe
0.500 0.749 0.253 Fe
0.000 0.000 0.661 Fe
0.500 0.251 0.253 Fe
0.000 0.500 0.173 Fe
0.500 0.251 0.747 Fe
0.000 0.500 0.500 Pa
0.000 0.000 0.000 Sm